Entry from Alexandria via LeMat-Bulk: a relaxed structure of K3Ge5Au2 (GGA-PBE).

Structure (extended XYZ):
```
20
Lattice="-5.5615 6.8936 3.3246 5.5615 -6.8936 3.3246 5.5615 6.8936 -3.3246" Properties=species:S:1:pos:R:3 pbc="T T T"
K 8.1731 1.6180 0.0000
K 0.0000 0.0000 1.6623
K 2.6116 5.2756 0.0000
K 2.9499 1.6180 3.3246
K 0.0000 0.0000 4.9870
K -2.6116 5.2756 3.3246
Ge 0.0000 10.3384 1.6623
Ge 5.5615 -3.4449 1.6623
Ge 4.2425 1.7628 0.0000
Ge 5.5615 0.0000 1.6623
Ge 4.2425 -1.7628 3.3246
Ge 0.0000 3.4487 1.6623
Ge 5.5615 3.4449 1.6623
Ge 1.3190 8.6564 0.0000
Ge 0.0000 6.8936 1.6623
Ge 1.3190 5.1307 3.3246
Au 1.7037 2.2276 0.0000
Au 7.2652 4.6660 0.0000
Au -1.7037 2.2276 3.3246
Au 3.8577 4.6660 3.3246
```

Values from the calculation:
- DFT formation energy: -0.135 eV/atom
- Total moment: 0.0 Bohr magnetons per cell

Entry from Alexandria via LeMat-Bulk: a relaxed structure of TmMg4Pd5 (GGA-PBE).

Structure (extended XYZ):
```
10
Lattice="3.2703 0.0000 0.0000 0.0000 3.2703 0.0000 0.0000 0.0000 16.0029" Properties=species:S:1:pos:R:3 pbc="T T T"
Tm 0.0000 0.0000 0.0000
Mg 0.0000 0.0000 3.3725
Mg 0.0000 0.0000 6.4582
Mg 0.0000 0.0000 9.5448
Mg 0.0000 0.0000 12.6304
Pd 1.6352 1.6352 1.7931
Pd 1.6352 1.6352 4.9028
Pd 1.6352 1.6352 8.0015
Pd 1.6352 1.6352 11.1002
Pd 1.6352 1.6352 14.2098
```

Values from the calculation:
- DFT formation energy: -0.771 eV/atom
- Total moment: 0.0 Bohr magnetons per cell

Entry from Alexandria via LeMat-Bulk: a relaxed structure of RbY (GGA-PBE).

Structure (extended XYZ):
```
12
Lattice="18.2824 0.0000 0.0000 0.0000 3.7116 0.0000 0.0000 0.0000 10.0393" Properties=species:S:1:pos:R:3 pbc="T T T"
Rb 0.0000 0.8921 0.0000
Rb 3.8634 2.7984 7.0115
Rb 5.2778 0.9132 1.9919
Rb 9.1412 2.8195 5.0197
Rb 13.0046 0.9132 1.9919
Rb 14.4190 2.7984 7.0115
Y 0.0000 0.9013 5.8766
Y 1.6196 2.7538 3.5625
Y 7.5216 0.9578 8.5822
Y 9.1412 2.8103 0.8570
Y 10.7608 0.9578 8.5822
Y 16.6628 2.7538 3.5625
```

Values from the calculation:
- DFT formation energy: 0.513 eV/atom
- Total moment: 1.7 Bohr magnetons per cell

So what do the calculations give for total DFT energy (no corrections)? Going down the list: -3.428 -4.452 -3.203 eV per atom.
So what do the calculations give for Fermi-level density of states? Going down the list: 0.3161 0.2328 1.3047 states/eV/atom.